1.
Below is an optimized crystal structure of NdSmPt, with properties calculated at the PBE level.

a = 7.089 Å, b = 13.492 Å, c = 7.308 Å
α = 90.00°, β = 90.00°, γ = 90.00°
Space group Pbca (No. 61)
Symmetry-distinct sites (fractional):
1 Nd 0.199 0.199 0.106 x8
2 Sm 0.004 0.532 0.760 x8
3 Pt 0.226 0.603 0.455 x8

Properties
Offset from the most stable computed form, eV/atom: 0.000

2.
Below is an optimized crystal structure of NdSm3Pt2, with properties calculated at the PBE level.

a = 16.690 Å, b = 5.337 Å, c = 7.510 Å
α = 90.00°, β = 94.51°, γ = 90.00°
Space group C2/m (No. 12)
Symmetry-distinct sites (fractional):
1 Nd 0.195 0.000 0.334 x4
2 Sm 0.035 0.000 0.775 x4
3 Sm 0.105 0.500 0.522 x4
4 Sm 0.162 0.500 0.994 x4
5 Pt 0.011 0.500 0.192 x4
6 Pt 0.210 0.000 0.724 x4

Properties
Offset from the most stable computed form, eV/atom: 0.035

3.
Below is an optimized crystal structure of Nd2Sm3Pt2, with properties calculated at the PBE level.

a = 12.562 Å, b = 3.862 Å, c = 9.257 Å
α = 90.00°, β = 115.99°, γ = 90.00°
Space group C2/m (No. 12)
Symmetry-distinct sites (fractional):
1 Nd 0.163 0.000 0.312 x4
2 Sm 0.000 0.500 0.500 x2
3 Sm 0.116 0.500 0.934 x4
4 Pt 0.170 0.000 0.738 x4

| no. | VASP energy (eV per atom) |
| --- | --- |
| 1 | -6.00 |
| 2 | -5.90 |
| 3 | -5.82 |